# 1
The following is a GGA-PBE calculation of a relaxed Tb2HfI crystal, from Alexandria via LeMat-Bulk.

Lattice parameters (Å, degrees): 3.4961 3.4961 33.7465 90.00 90.00 120.00
Space group R-3m (No. 166, hexagonal axes)
One atom of each set of equivalent atoms:
Tb1 0.0000 0.0000 0.0915 [6 per cell]
Hf1 0.0000 0.0000 0.0000 [3 per cell]
I1 0.0000 0.0000 0.5000 [3 per cell]

Output
* formation energy without anion corrections: 0.2047 eV per atom

# 2
The following is a GGA-PBE calculation of a relaxed La4Sm5Th crystal, from Alexandria via LeMat-Bulk.

Lattice parameters (Å, degrees): 19.043 3.666 10.379 90.00 105.81 90.00
Space group C2/m (No. 12)
One atom of each set of equivalent atoms:
La1 0.098 0.000 0.295 [4 per cell]
La2 0.198 0.500 0.101 [4 per cell]
Sm1 0.000 0.500 0.500 [2 per cell]
Sm2 0.097 0.000 0.803 [4 per cell]
Sm3 0.199 0.500 0.598 [4 per cell]
Th1 0.000 0.500 0.000 [2 per cell]

Output
* E_form: 28 kJ/mol of formula units
* energy relative to the lowest polymorph listed for this composition: 0.4 kJ per mole of atoms

# 3
The following is a GGA-PBE calculation of a relaxed Tl2RhCl crystal, from Alexandria via LeMat-Bulk.

Lattice parameters (Å, degrees): 7.346 7.370 3.235 90.00 90.43 90.00
Space group C2/m (No. 12)
One atom of each set of equivalent atoms:
Tl1 0.250 0.250 0.000 [4 per cell]
Rh1 0.000 0.000 0.500 [2 per cell]
Cl1 0.000 0.500 0.500 [2 per cell]

Output
* formation energy without anion corrections: -0.0923 eV per atom
* energy relative to the lowest polymorph listed for this composition: 7.4 kJ per mole of atoms

Looking at DFT total energy for the records above, in order, we have -0.3665 -0.3707 -0.2628 Ry/atom.
Looking at calculated volume for the records above, in order, we have 29.77 34.86 21.90 A^3/atom.